[1]
DFT (GGA-PBE) results for an optimized crystal structure of La4Eu2N.

a = 5.177 Å, b = 5.177 Å, c = 18.311 Å
α = 90.00°, β = 90.00°, γ = 90.00°
Space group I4/mmm (No. 139)
Unique sites:
La: 0.000 0.000 0.132 [4 per cell]
La: 0.000 0.500 0.000 [4 per cell]
Eu: 0.000 0.000 0.331 [4 per cell]
N: 0.000 0.000 0.000 [2 per cell]

Results
The calculation puts the uncorrected formation energy at -0.2616 eV per atom.

***

[2]
DFT (GGA-PBE) results for an optimized crystal structure of NaLaEu2.

a = 6.275 Å, b = 6.275 Å, c = 4.000 Å
α = 90.00°, β = 90.00°, γ = 90.00°
Space group P4/mmm (No. 123)
Unique sites:
Na: 0.000 0.000 0.000 [1 per cell]
La: 0.500 0.500 0.000 [1 per cell]
Eu: 0.000 0.500 0.500 [2 per cell]

***

[3]
DFT (GGA-PBE) results for an optimized crystal structure of NaLaEu2.

a = 3.7976 Å, b = 3.7976 Å, c = 38.3258 Å
α = 90.00°, β = 90.00°, γ = 120.00°
Space group R-3m (No. 166, hexagonal axes)
Unique sites:
Na: 0.0000 0.0000 0.0000 [3 per cell]
La: 0.0000 0.0000 0.5000 [3 per cell]
Eu: 0.0000 0.0000 0.2487 [6 per cell]

***

[4]
DFT (GGA-PBE) results for an optimized crystal structure of NaLaEu2.

a = 3.749 Å, b = 3.749 Å, c = 11.402 Å
α = 90.00°, β = 90.00°, γ = 90.00°
Space group P4/mmm (No. 123)
Unique sites:
Na: 0.000 0.000 0.000 [1 per cell]
La: 0.000 0.000 0.500 [1 per cell]
Eu: 0.500 0.500 0.256 [2 per cell]

***

[5]
DFT (GGA-PBE) results for an optimized crystal structure of NaLaEu.

a = 3.7564 Å, b = 3.7564 Å, c = 9.5726 Å
α = 90.00°, β = 90.00°, γ = 120.00°
Space group P3m1 (No. 156)
Unique sites:
Na: 0.0000 0.0000 0.0000 [1 per cell]
La: 0.3333 0.6667 0.6641 [1 per cell]
Eu: 0.6667 0.3333 0.3449 [1 per cell]

***

[6]
DFT (GGA-PBE) results for an optimized crystal structure of NaLaEu.

a = 3.684 Å, b = 3.684 Å, c = 17.220 Å
α = 90.00°, β = 90.00°, γ = 90.00°
Space group I4mm (No. 107)
Unique sites:
Na: 0.000 0.000 0.000 [2 per cell]
La: 0.000 0.000 0.668 [2 per cell]
Eu: 0.000 0.000 0.328 [2 per cell]

***

[7]
DFT (GGA-PBE) results for an optimized crystal structure of NaLaEuPb.

a = 8.050 Å, b = 8.050 Å, c = 8.050 Å
α = 90.00°, β = 90.00°, γ = 90.00°
Space group F-43m (No. 216)
Unique sites:
Na: 0.000 0.000 0.000 [4 per cell]
La: 0.250 0.250 0.250 [4 per cell]
Eu: 0.250 0.250 0.750 [4 per cell]
Pb: 0.000 0.000 0.500 [4 per cell]

***

[8]
DFT (GGA-PBE) results for an optimized crystal structure of NaLaEuTl.

a = 8.061 Å, b = 8.061 Å, c = 8.061 Å
α = 90.00°, β = 90.00°, γ = 90.00°
Space group F-43m (No. 216)
Unique sites:
Na: 0.000 0.000 0.000 [4 per cell]
La: 0.250 0.250 0.250 [4 per cell]
Eu: 0.250 0.250 0.750 [4 per cell]
Tl: 0.000 0.000 0.500 [4 per cell]

***

[9]
DFT (GGA-PBE) results for an optimized crystal structure of NaLaEuZn.

a = 7.864 Å, b = 7.864 Å, c = 7.864 Å
α = 90.00°, β = 90.00°, γ = 90.00°
Space group F-43m (No. 216)
Unique sites:
Na: 0.000 0.000 0.000 [4 per cell]
La: 0.250 0.250 0.250 [4 per cell]
Eu: 0.250 0.250 0.750 [4 per cell]
Zn: 0.000 0.000 0.500 [4 per cell]

***

[10]
DFT (GGA-PBE) results for an optimized crystal structure of LaEu2Nb.

a = 3.3424 Å, b = 3.3424 Å, c = 37.5491 Å
α = 90.00°, β = 90.00°, γ = 120.00°
Space group R-3m (No. 166, hexagonal axes)
Unique sites:
La: 0.0000 0.0000 0.0000 [3 per cell]
Eu: 0.0000 0.0000 0.4214 [6 per cell]
Nb: 0.0000 0.0000 0.5000 [3 per cell]

***

[11]
DFT (GGA-PBE) results for an optimized crystal structure of LaEu2NbO6.

a = 8.668 Å, b = 8.668 Å, c = 8.668 Å
α = 90.00°, β = 90.00°, γ = 90.00°
Space group Fm-3m (No. 225)
Unique sites:
La: 0.000 0.000 0.000 [4 per cell]
Eu: 0.250 0.250 0.250 [8 per cell]
Nb: 0.000 0.000 0.500 [4 per cell]
O: 0.000 0.000 0.268 [24 per cell]

Results
The calculation puts the uncorrected formation energy at -2.7914 eV per atom.

***

[12]
DFT (GGA-PBE) results for an optimized crystal structure of LaNd2Eu.

a = 8.413 Å, b = 8.413 Å, c = 8.413 Å
α = 90.00°, β = 90.00°, γ = 90.00°
Space group Fm-3m (No. 225)
Unique sites:
La: 0.000 0.000 0.000 [4 per cell]
Nd: 0.250 0.250 0.250 [8 per cell]
Eu: 0.000 0.000 0.500 [4 per cell]

***

[13]
DFT (GGA-PBE) results for an optimized crystal structure of LaNd2Eu.

a = 5.249 Å, b = 5.249 Å, c = 5.315 Å
α = 90.00°, β = 90.00°, γ = 90.00°
Space group P4/mmm (No. 123)
Unique sites:
La: 0.000 0.000 0.000 [1 per cell]
Nd: 0.000 0.500 0.500 [2 per cell]
Eu: 0.500 0.500 0.000 [1 per cell]

***

[14]
DFT (GGA-PBE) results for an optimized crystal structure of LaNd2Eu.

a = 3.6544 Å, b = 3.6544 Å, c = 38.8082 Å
α = 90.00°, β = 90.00°, γ = 120.00°
Space group R-3m (No. 166, hexagonal axes)
Unique sites:
La: 0.0000 0.0000 0.0000 [3 per cell]
Nd: 0.0000 0.0000 0.4102 [6 per cell]
Eu: 0.0000 0.0000 0.5000 [3 per cell]

***

[15]
DFT (GGA-PBE) results for an optimized crystal structure of LaNd2Eu.

a = 3.744 Å, b = 3.744 Å, c = 10.580 Å
α = 90.00°, β = 90.00°, γ = 90.00°
Space group P4/mmm (No. 123)
Unique sites:
La: 0.000 0.000 0.000 [1 per cell]
Nd: 0.500 0.500 0.240 [2 per cell]
Eu: 0.000 0.000 0.500 [1 per cell]

***

[16]
DFT (GGA-PBE) results for an optimized crystal structure of LaPmNdEu.

a = 8.384 Å, b = 8.384 Å, c = 8.384 Å
α = 90.00°, β = 90.00°, γ = 90.00°
Space group F-43m (No. 216)
Unique sites:
La: 0.000 0.000 0.000 [4 per cell]
Pm: 0.250 0.250 0.250 [4 per cell]
Nd: 0.000 0.000 0.500 [4 per cell]
Eu: 0.250 0.250 0.750 [4 per cell]

***

[17]
DFT (GGA-PBE) results for an optimized crystal structure of LaPrNdEu.

a = 8.422 Å, b = 8.422 Å, c = 8.422 Å
α = 90.00°, β = 90.00°, γ = 90.00°
Space group F-43m (No. 216)
Unique sites:
La: 0.000 0.000 0.000 [4 per cell]
Pr: 0.000 0.000 0.500 [4 per cell]
Nd: 0.250 0.250 0.250 [4 per cell]
Eu: 0.250 0.250 0.750 [4 per cell]

***

[18]
DFT (GGA-PBE) results for an optimized crystal structure of LaNdEuSc.

a = 8.142 Å, b = 8.142 Å, c = 8.142 Å
α = 90.00°, β = 90.00°, γ = 90.00°
Space group F-43m (No. 216)
Unique sites:
La: 0.000 0.000 0.000 [4 per cell]
Nd: 0.000 0.000 0.500 [4 per cell]
Eu: 0.250 0.250 0.250 [4 per cell]
Sc: 0.250 0.250 0.750 [4 per cell]

***

[19]
DFT (GGA-PBE) results for an optimized crystal structure of SrLaNdEu.

a = 8.695 Å, b = 8.695 Å, c = 8.695 Å
α = 90.00°, β = 90.00°, γ = 90.00°
Space group F-43m (No. 216)
Unique sites:
Sr: 0.000 0.000 0.000 [4 per cell]
La: 0.250 0.250 0.250 [4 per cell]
Nd: 0.000 0.000 0.500 [4 per cell]
Eu: 0.250 0.250 0.750 [4 per cell]

***

[20]
DFT (GGA-PBE) results for an optimized crystal structure of LaTbNdEu.

a = 8.334 Å, b = 8.334 Å, c = 8.334 Å
α = 90.00°, β = 90.00°, γ = 90.00°
Space group F-43m (No. 216)
Unique sites:
La: 0.000 0.000 0.000 [4 per cell]
Tb: 0.250 0.250 0.750 [4 per cell]
Nd: 0.000 0.000 0.500 [4 per cell]
Eu: 0.250 0.250 0.250 [4 per cell]

***

Number 1: total DFT energy (no corrections) -7.20 eV per atom, M_tot 30.520 Bohr magnetons per cell. Number 2: total DFT energy (no corrections) -6.56 eV per atom, M_tot 15.068 Bohr magnetons per cell. Number 3: total DFT energy (no corrections) -6.63 eV per atom, M_tot 44.963 Bohr magnetons per cell. Number 4: total DFT energy (no corrections) -6.61 eV per atom, M_tot 14.855 Bohr magnetons per cell. Number 5: total DFT energy (no corrections) -5.40 eV per atom, M_tot 7.848 Bohr magnetons per cell. Number 6: total DFT energy (no corrections) -5.37 eV per atom, M_tot 15.883 Bohr magnetons per cell. Number 7: total DFT energy (no corrections) -5.34 eV per atom, M_tot 30.757 Bohr magnetons per cell. Number 8: total DFT energy (no corrections) -4.86 eV per atom, M_tot 29.377 Bohr magnetons per cell. Number 9: total DFT energy (no corrections) -4.42 eV per atom, M_tot 30.542 Bohr magnetons per cell. Number 10: total DFT energy (no corrections) -8.18 eV per atom, M_tot 45.617 Bohr magnetons per cell. Number 11: total DFT energy (no corrections) -9.32 eV per atom, M_tot 56.000 Bohr magnetons per cell. Number 12: total DFT energy (no corrections) -6.04 eV per atom, M_tot 33.142 Bohr magnetons per cell. Number 13: total DFT energy (no corrections) -6.12 eV per atom, M_tot 7.331 Bohr magnetons per cell. Number 14: total DFT energy (no corrections) -6.05 eV per atom, M_tot 22.893 Bohr magnetons per cell. Number 15: total DFT energy (no corrections) -6.15 eV per atom, M_tot 7.717 Bohr magnetons per cell. Number 16: total DFT energy (no corrections) -6.05 eV per atom, M_tot 33.608 Bohr magnetons per cell. Number 17: total DFT energy (no corrections) -6.06 eV per atom, M_tot 33.791 Bohr magnetons per cell. Number 18: total DFT energy (no corrections) -6.44 eV per atom, M_tot 30.285 Bohr magnetons per cell. Number 19: total DFT energy (no corrections) -5.24 eV per atom, M_tot 29.395 Bohr magnetons per cell. Number 20: total DFT energy (no corrections) -6.02 eV per atom, M_tot 31.589 Bohr magnetons per cell.